(1)
Compound: Ac3SmDy8
Source: Alexandria via LeMat-Bulk
Functional: GGA-PBE
Structure: optimized geometry

```
12
Lattice="-3.258 5.775 5.957 3.258 -5.775 5.957 3.258 5.775 -5.957" Properties=species:S:1:pos:R:3 pbc="T T T"
Ac 0.000 0.000 0.000
Ac 3.258 2.941 0.000
Ac 0.000 2.834 5.957
Sm 0.000 5.775 0.000
Dy 3.258 -2.871 3.851
Dy 1.645 5.775 -2.873
Dy 1.613 0.000 3.084
Dy 0.000 2.903 2.106
Dy 3.258 2.871 3.851
Dy 1.645 5.775 2.873
Dy 1.613 0.000 8.829
Dy 0.000 8.646 2.106
```

## Properties
Its formation energy is 0.247 eV per atom.

(2)
Compound: Cs4AgBi2
Source: Alexandria via LeMat-Bulk
Functional: GGA-PBE
Structure: optimized geometry

```
7
Lattice="3.289 1.899 10.839 -3.289 1.899 10.839 0.000 -3.798 10.839" Properties=species:S:1:pos:R:3 pbc="T T T"
Cs 0.000 0.000 4.114
Cs 0.000 0.000 9.526
Cs 0.000 0.000 22.991
Cs 0.000 0.000 28.403
Ag 0.000 0.000 16.258
Bi 0.000 0.000 13.510
Bi 0.000 0.000 19.007
```

## Properties
Its formation energy is -0.296 eV per atom.

(3)
Compound: Rb2Cd3Sn5
Source: Alexandria via LeMat-Bulk
Functional: GGA-PBE
Structure: optimized geometry

```
20
Lattice="-6.270 7.106 3.563 6.270 -7.106 3.563 6.270 7.106 -3.563" Properties=species:S:1:pos:R:3 pbc="T T T"
Rb 3.124 1.772 0.000
Rb 3.124 -1.772 3.563
Rb 3.145 8.878 0.000
Rb 3.145 5.334 3.563
Cd 10.857 1.773 0.000
Cd 6.270 0.000 1.782
Cd 4.588 5.333 0.000
Cd 1.682 1.773 3.563
Cd 0.000 7.106 1.782
Cd -4.588 5.333 3.563
Sn 6.270 -3.534 1.782
Sn 7.952 1.752 0.000
Sn 0.000 0.000 1.782
Sn 1.682 5.354 0.000
Sn 6.270 3.534 1.782
Sn 0.000 3.572 1.782
Sn 4.588 1.752 3.563
Sn 0.000 0.000 5.345
Sn -1.682 5.354 3.563
Sn 0.000 10.640 1.782
```

## Properties
Its formation energy is -0.154 eV per atom.

(4)
Compound: Pa2Be5Cu12
Source: Alexandria via LeMat-Bulk
Functional: GGA-PBE
Structure: optimized geometry

```
19
Lattice="4.179 2.413 3.986 -4.179 2.413 3.986 0.000 -4.825 3.986" Properties=species:S:1:pos:R:3 pbc="T T T"
Pa 0.000 0.000 1.703
Pa 0.000 0.000 10.255
Be -2.089 -1.206 3.986
Be 0.000 0.000 4.800
Be -2.089 1.206 7.972
Be 0.000 2.413 3.986
Be 0.000 0.000 7.159
Cu 0.000 -2.241 3.787
Cu -1.941 1.120 3.787
Cu -1.210 -2.095 5.979
Cu -2.420 0.000 5.979
Cu -1.941 -1.120 8.172
Cu 1.210 -2.095 5.979
Cu -1.210 2.095 5.979
Cu 1.941 1.120 3.787
Cu 2.420 0.000 5.979
Cu 1.210 2.095 5.979
Cu 1.941 -1.120 8.172
Cu 0.000 2.241 8.172
```

## Properties
Its formation energy is -0.012 eV per atom.

(5)
Compound: HoBC
Source: Alexandria via LeMat-Bulk
Functional: GGA-PBE
Structure: optimized geometry

```
3
Lattice="3.586 0.000 0.000 0.000 3.586 0.000 0.000 0.000 2.993" Properties=species:S:1:pos:R:3 pbc="T T T"
Ho 0.000 0.000 0.000
B 1.793 1.793 1.497
C 1.793 1.793 0.000
```

## Properties
Its formation energy is -0.241 eV per atom. For the offset from the most stable computed form, the calculation gives 0.214 eV/atom.

(6)
Compound: BaYZr2
Source: Alexandria via LeMat-Bulk
Functional: GGA-PBE
Structure: optimized geometry

```
4
Lattice="1.728 0.998 11.675 -1.728 0.998 11.675 0.000 -1.996 11.675" Properties=species:S:1:pos:R:3 pbc="T T T"
Ba 0.000 0.000 0.000
Y 0.000 0.000 26.819
Zr 0.000 0.000 8.550
Zr 0.000 0.000 17.822
```

## Properties
Its formation energy is 0.337 eV per atom. For the offset from the most stable computed form, the calculation gives 0.063 eV/atom.

(7)
Compound: DyAgPb2
Source: Alexandria via LeMat-Bulk
Functional: GGA-PBE
Structure: optimized geometry

```
4
Lattice="0.000 3.747 3.747 3.747 0.000 3.747 3.747 3.747 0.000" Properties=species:S:1:pos:R:3 pbc="T T T"
Dy 0.000 0.000 0.000
Ag 3.747 3.747 3.747
Pb 1.874 1.874 1.874
Pb 5.621 5.621 5.621
```

## Properties
Its formation energy is -0.113 eV per atom.

(8)
Compound: Nd6YHo2
Source: Alexandria via LeMat-Bulk
Functional: GGA-PBE
Structure: optimized geometry

```
9
Lattice="4.718 -8.881 0.000 4.718 8.881 0.000 0.000 0.000 3.675" Properties=species:S:1:pos:R:3 pbc="T T T"
Nd 1.662 2.933 0.000
Nd 1.721 0.000 1.837
Nd 1.662 -2.933 0.000
Nd 7.773 2.933 0.000
Nd 7.714 0.000 1.837
Nd 7.773 -2.933 0.000
Y 4.718 0.000 0.000
Ho 4.718 3.156 1.837
Ho 4.718 -3.156 1.837
```

## Properties
Its formation energy is 0.127 eV per atom. For the offset from the most stable computed form, the calculation gives 0.000 eV/atom.

Looking at DOS(E_F) for the records above, in order, we have 1.392; 1.216; 0.414; 0.698; 0.187; 1.667; 0.226; 1.411 states/eV per atom.
Looking at VASP energy for the records above, in order, we have -4.241; -2.300; -2.624; -4.579; -7.067; -6.034; -3.831; -4.787 eV/atom.
Looking at M_tot for the records above, in order, we have 0.0; 0.9; 0.0; 0.0; 0.0; 0.0; 0.0; 0.0 μB/f.u..